A geometry-optimized PrYHoEr structure, computed with PBE.

Values from the calculation:
DFT formation energy   0.121 eV per atom
Crystal system   cubic

CIF file:
```
data_PrYHoEr
_chemical_formula_sum 'Pr4 Y4 Ho4 Er4'
_space_group_name_H-M_alt 'F -4 3 m'
_space_group_IT_number 216
_space_group_name_Hall 'F -4 2 3'
_cell_length_a 8.0735
_cell_length_b 8.0735
_cell_length_c 8.0735
_cell_angle_alpha 90.00
_cell_angle_beta 90.00
_cell_angle_gamma 90.00
loop_
_atom_site_label
_atom_site_type_symbol
_atom_site_fract_x
_atom_site_fract_y
_atom_site_fract_z
Pr1 Pr 0.0000 0.0000 0.0000
Y1 Y 0.0000 0.0000 0.5000
Ho1 Ho 0.2500 0.2500 0.7500
Er1 Er 0.2500 0.2500 0.2500
```

A geometry-optimized SmEr2Pb3 structure, computed with PBE.

Values from the calculation:
DFT formation energy   -0.485 eV per atom
Crystal system   monoclinic

CIF file:
```
data_SmEr2Pb3
_chemical_formula_sum 'Sm4 Er8 Pb12'
_space_group_name_H-M_alt 'C 1 2/c 1'
_space_group_IT_number 15
_cell_length_a 16.9530
_cell_length_b 6.4206
_cell_length_c 6.4066
_cell_angle_alpha 90.00
_cell_angle_beta 100.82
_cell_angle_gamma 90.00
loop_
_space_group_symop_operation_xyz
'x,y,z'
'-x,-y,-z'
'-x,y,-z+1/2'
'x,-y,z+1/2'
'x+1/2,y+1/2,z'
'-x+1/2,-y+1/2,-z'
'-x+1/2,y+1/2,-z+1/2'
'x+1/2,-y+1/2,z+1/2'
loop_
_atom_site_label
_atom_site_type_symbol
_atom_site_fract_x
_atom_site_fract_y
_atom_site_fract_z
Sm1 Sm 0.0000 0.1264 0.2500
Er1 Er 0.1664 0.3762 0.0794
Pb1 Pb 0.0000 0.3751 0.7500
Pb2 Pb 0.1690 0.1238 0.5861
```

A geometry-optimized Tb6InGa2 structure, computed with PBE.

Values from the calculation:
DFT formation energy   -0.423 eV per atom
Crystal system   orthorhombic

CIF file:
```
data_Tb6InGa2
_chemical_formula_sum 'Tb24 In4 Ga8'
_space_group_name_H-M_alt 'I m m m'
_space_group_IT_number 71
_space_group_name_Hall '-I 2 2'
_cell_length_a 9.7011
_cell_length_b 9.7292
_cell_length_c 10.6431
_cell_angle_alpha 90.00
_cell_angle_beta 90.00
_cell_angle_gamma 90.00
loop_
_atom_site_label
_atom_site_type_symbol
_atom_site_fract_x
_atom_site_fract_y
_atom_site_fract_z
Tb1 Tb 0.0000 0.2020 0.2396
Tb2 Tb 0.2038 0.5000 0.1792
Tb3 Tb 0.2213 0.3162 0.5000
In1 In 0.0000 0.0000 0.0000
In2 In 0.0000 0.0000 0.5000
Ga1 Ga 0.0000 0.3534 0.0000
Ga2 Ga 0.0000 0.5000 0.3794
```

A geometry-optimized Ga2ReIrC structure, computed with PBE.

Values from the calculation:
DFT formation energy   1.334 eV per atom
Crystal system   tetragonal

CIF file:
```
data_Ga2ReIrC
_chemical_formula_sum 'Ga2 Re1 Ir1 C1'
_space_group_name_H-M_alt 'P 4/m m m'
_space_group_IT_number 123
_space_group_name_Hall '-P 4 2'
_cell_length_a 4.8673
_cell_length_b 4.8673
_cell_length_c 3.8334
_cell_angle_alpha 90.00
_cell_angle_beta 90.00
_cell_angle_gamma 90.00
loop_
_atom_site_label
_atom_site_type_symbol
_atom_site_fract_x
_atom_site_fract_y
_atom_site_fract_z
Ga1 Ga 0.0000 0.5000 0.0000
Re1 Re 0.0000 0.0000 0.0000
Ir1 Ir 0.5000 0.5000 0.5000
C1 C 0.0000 0.0000 0.5000
```